# 1
VASP calculation (PBE) on crystalline SmTl4Br7 at its relaxed geometry.

## Properties
The value obtained for the uncorrected formation energy is -1.169 eV per atom. The value obtained for the calculated density is 5.348 Mg/m³. The uncorrected energy comes out at -39.918 eV per formula unit.

```
data_SmTl4Br7
_chemical_formula_sum 'Sm2 Tl8 Br14'
_cell_length_a 22.279
_cell_length_b 5.608
_cell_length_c 7.968
_cell_angle_alpha 90.00
_cell_angle_beta 107.70
_cell_angle_gamma 90.00
_space_group_name_H-M_alt 'C 1 2/m 1'
_space_group_IT_number 12
loop_
_space_group_symop_operation_xyz
'x,y,z'
'-x,-y,-z'
'-x,y,-z'
'x,-y,z'
'x+1/2,y+1/2,z'
'-x+1/2,-y+1/2,-z'
'-x+1/2,y+1/2,-z'
'x+1/2,-y+1/2,z'
loop_
_atom_site_label
_atom_site_type_symbol
_atom_site_fract_x
_atom_site_fract_y
_atom_site_fract_z
Sm1 Sm 0.000 0.000 0.000
Tl1 Tl 0.085 0.500 0.637
Tl2 Tl 0.195 0.500 0.253
Br1 Br 0.000 0.500 0.000
Br2 Br 0.077 0.000 0.359
Br3 Br 0.112 0.000 0.896
Br4 Br 0.224 0.500 0.668
```

# 2
VASP calculation (PBE) on crystalline SrCdMo at its relaxed geometry.

## Properties
The value obtained for the calculated density is 6.177 Mg/m³. The formation energy from the elements comes out at 0.322 eV per atom. The uncorrected energy comes out at -12.462 eV per formula unit. Its polymorph energy (0 for the lowest one) is 25 meV/atom.

```
data_SrCdMo
_chemical_formula_sum 'Sr4 Cd4 Mo4'
_cell_length_a 12.785
_cell_length_b 3.532
_cell_length_c 7.538
_cell_angle_alpha 90.00
_cell_angle_beta 110.77
_cell_angle_gamma 90.00
_space_group_name_H-M_alt 'C 1 2/m 1'
_space_group_IT_number 12
loop_
_space_group_symop_operation_xyz
'x,y,z'
'-x,-y,-z'
'-x,y,-z'
'x,-y,z'
'x+1/2,y+1/2,z'
'-x+1/2,-y+1/2,-z'
'-x+1/2,y+1/2,-z'
'x+1/2,-y+1/2,z'
loop_
_atom_site_label
_atom_site_type_symbol
_atom_site_fract_x
_atom_site_fract_y
_atom_site_fract_z
Sr1 Sr 0.000 0.000 0.000
Sr2 Sr 0.000 0.000 0.500
Cd1 Cd 0.197 0.500 0.332
Mo1 Mo 0.206 0.500 0.893
```

Q: Among the records above, which one has the highest calculated density?
A: SrCdMo

What did the second record say?
VASP calculation (PBE) on crystalline SrCdMo at its relaxed geometry.

## Properties
The value obtained for the calculated density is 6.177 Mg/m³. The formation energy from the elements comes out at 0.322 eV per atom. The uncorrected energy comes out at -12.462 eV per formula unit. Its polymorph energy (0 for the lowest one) is 25 meV/atom.

```
data_SrCdMo
_chemical_formula_sum 'Sr4 Cd4 Mo4'
_cell_length_a 12.785
_cell_length_b 3.532
_cell_length_c 7.538
_cell_angle_alpha 90.00
_cell_angle_beta 110.77
_cell_angle_gamma 90.00
_space_group_name_H-M_alt 'C 1 2/m 1'
_space_group_IT_number 12
loop_
_space_group_symop_operation_xyz
'x,y,z'
'-x,-y,-z'
'-x,y,-z'
'x,-y,z'
'x+1/2,y+1/2,z'
'-x+1/2,-y+1/2,-z'
'-x+1/2,y+1/2,-z'
'x+1/2,-y+1/2,z'
loop_
_atom_site_label
_atom_site_type_symbol
_atom_site_fract_x
_atom_site_fract_y
_atom_site_fract_z
Sr1 Sr 0.000 0.000 0.000
Sr2 Sr 0.000 0.000 0.500
Cd1 Cd 0.197 0.500 0.332
Mo1 Mo 0.206 0.500 0.893
```